Entry 1:
Computed, not measured: an optimized crystal structure of Li4ZrTl at the PBEsol level of DFT.

Calculated values
Crystal system   cubic
Calculated total energy   -3.154 eV per atom
Calculated density   5.2 g cm⁻³
DFT formation energy   0.665 eV/f.u.
Space-group type   F-43m (216)

Cell: 5.2701 5.2701 5.2701 Å, 60.00 60.00 60.00°
Last column: nearest neighbours and their distance in Å.
Element x y z (fractional)
Li1 0.1248 0.1248 0.1248  6 Li 2.63-2.64
Li2 0.1248 0.1248 0.6255  6 Li 2.63-2.64
Li3 0.1248 0.6255 0.1248  6 Li 2.63-2.64
Li4 0.6255 0.1248 0.1248  6 Li 2.63-2.64
Zr1 0.5000 0.5000 0.5000  12 Li 3.09, 4 Tl 3.23
Tl1 0.7500 0.7500 0.7500  12 Li 3.09, 4 Zr 3.23



Entry 2:
Computed, not measured: an optimized crystal structure of AlAs2Pb at the PBEsol level of DFT.

Calculated values
Crystal system   orthorhombic
Calculated total energy   -4.337 eV per atom
Distance to the lowest polymorph of the same formula   285 meV per atom
Calculated density   7.5 g cm⁻³
DFT formation energy   0.954 eV/f.u.
Space-group type   Cmmm (65)

Cell: 4.8101 4.8101 3.7074 Å, 90.00 90.00 98.79°
Last column: nearest neighbours and their distance in Å.
Element x y z (fractional)
Al1 0.0000 0.0000 0.0000  8 As 3.04, 2 Pb 3.13
As1 0.0000 0.5000 0.5000  4 Pb 3.04, 4 Al 3.04, 2 As 3.13
As2 0.5000 0.0000 0.5000  4 Pb 3.04, 4 Al 3.04, 2 As 3.13
Pb1 0.5000 0.5000 0.0000  8 As 3.04, 2 Al 3.13



Entry 3:
Computed, not measured: an optimized crystal structure of MnCuPO2 at the PBEsol level of DFT.

Calculated values
Crystal system   tetragonal
Calculated total energy   -5.872 eV per atom
Energy relative to the elements, uncorrected   205 meV per atom
Calculated density   4.8 g cm⁻³
Space-group type   P4/mmm (123)

Cell: 3.6437 3.6437 4.6796 Å, 90.00 90.00 90.00°
Last column: nearest neighbours and their distance in Å.
Element x y z (fractional)
Mn1 0.0000 0.0000 0.0000  4 P 2.58
Cu1 0.5000 0.5000 0.5000  4 O 1.82
P1 0.5000 0.5000 0.0000  2 Cu 2.34, 4 Mn 2.58
O1 0.0000 0.5000 0.5000  2 Cu 1.82
O2 0.5000 0.0000 0.5000  2 Cu 1.82



Entry 4:
Computed, not measured: an optimized crystal structure of CuRuRh2 at the PBEsol level of DFT.

Calculated values
Crystal system   orthorhombic
Calculated total energy   -7.571 eV per atom
Distance to the lowest polymorph of the same formula   90 meV per atom
Calculated density   11.8 g cm⁻³
DFT formation energy   0.499 eV/f.u.
Space-group type   Pmm2 (25)

Cell: 2.6632 3.7362 5.2298 Å, 90.00 90.00 90.00°
Last column: nearest neighbours and their distance in Å.
Element x y z (fractional)
Cu1 0.0000 0.0000 0.0000  6 Rh 2.58-2.65, 4 Ru 2.65, 2 Cu 2.66
Ru1 0.5000 0.5000 0.7463  6 Rh 2.56-2.67, 4 Cu 2.65, 2 Ru 2.66
Rh1 0.0000 0.0000 0.5073  2 Cu 2.58-2.65, 4 Ru 2.61, 6 Rh 2.66-2.70
Rh2 0.5000 0.5000 0.2357  2 Ru 2.56-2.67, 4 Cu 2.60, 6 Rh 2.66-2.70



What is the formula in the third record?
MnCuPO2



Among the records above, which one has the highest calculated density?
CuRuRh2



Copy entry 4 word for word.
Computed, not measured: an optimized crystal structure of CuRuRh2 at the PBEsol level of DFT.

Calculated values
Crystal system   orthorhombic
Calculated total energy   -7.571 eV per atom
Distance to the lowest polymorph of the same formula   90 meV per atom
Calculated density   11.8 g cm⁻³
DFT formation energy   0.499 eV/f.u.
Space-group type   Pmm2 (25)

Cell: 2.6632 3.7362 5.2298 Å, 90.00 90.00 90.00°
Last column: nearest neighbours and their distance in Å.
Element x y z (fractional)
Cu1 0.0000 0.0000 0.0000  6 Rh 2.58-2.65, 4 Ru 2.65, 2 Cu 2.66
Ru1 0.5000 0.5000 0.7463  6 Rh 2.56-2.67, 4 Cu 2.65, 2 Ru 2.66
Rh1 0.0000 0.0000 0.5073  2 Cu 2.58-2.65, 4 Ru 2.61, 6 Rh 2.66-2.70
Rh2 0.5000 0.5000 0.2357  2 Ru 2.56-2.67, 4 Cu 2.60, 6 Rh 2.66-2.70



What did the first record say?
Computed, not measured: an optimized crystal structure of Li4ZrTl at the PBEsol level of DFT.

Calculated values
Crystal system   cubic
Calculated total energy   -3.154 eV per atom
Calculated density   5.2 g cm⁻³
DFT formation energy   0.665 eV/f.u.
Space-group type   F-43m (216)

Cell: 5.2701 5.2701 5.2701 Å, 60.00 60.00 60.00°
Last column: nearest neighbours and their distance in Å.
Element x y z (fractional)
Li1 0.1248 0.1248 0.1248  6 Li 2.63-2.64
Li2 0.1248 0.1248 0.6255  6 Li 2.63-2.64
Li3 0.1248 0.6255 0.1248  6 Li 2.63-2.64
Li4 0.6255 0.1248 0.1248  6 Li 2.63-2.64
Zr1 0.5000 0.5000 0.5000  12 Li 3.09, 4 Tl 3.23
Tl1 0.7500 0.7500 0.7500  12 Li 3.09, 4 Zr 3.23